CsN2F2: relaxed, PBE.

- formation energy without anion corrections (kJ per mole of atoms) = 120.8
- total moment (μB/f.u.) = 6.81
- symmetry = P4/mmm (123)

a = 5.1191 Å, b = 5.1191 Å, c = 5.1646 Å
α = 90.00°, β = 90.00°, γ = 90.00°
Fractional coordinates of all 5 atoms:
Cs (0.0000, 0.0000, 0.0000)
N (0.0000, 0.0000, 0.5000)
N (0.5000, 0.5000, 0.5000)
F (0.0000, 0.5000, 0.0000)
F (0.5000, 0.0000, 0.0000)


TmPaMo2: relaxed, PBE.

- E_tot (eV/atom) = -8.7214
- total moment (μB/f.u.) = 0.00
- symmetry = Fm-3m (225)

a = 4.8611 Å, b = 4.8611 Å, c = 4.8611 Å
α = 60.00°, β = 60.00°, γ = 60.00°
Fractional coordinates of all 4 atoms:
Tm (0.0000, 0.0000, 0.0000)
Pa (0.5000, 0.5000, 0.5000)
Mo (0.2500, 0.2500, 0.2500)
Mo (0.7500, 0.7500, 0.7500)


Ba2PmBr: relaxed, PBE.

- formation energy without anion corrections (kJ per mole of atoms) = -40.8
- total moment (μB/f.u.) = 0.93
- symmetry = R-3m (166)

a = 12.6370 Å, b = 12.6370 Å, c = 12.6370 Å
α = 18.19°, β = 18.19°, γ = 18.19°
Fractional coordinates of all 4 atoms:
Ba (0.1002, 0.1002, 0.1002)
Ba (0.8998, 0.8998, 0.8998)
Pm (0.0000, 0.0000, 0.0000)
Br (0.5000, 0.5000, 0.5000)


LaIn12Pd4: relaxed, PBE.

- E_tot (eV/atom) = -3.6661
- total moment (μB/f.u.) = 0.00
- symmetry = Im-3 (204)

a = 8.3177 Å, b = 8.3177 Å, c = 8.3177 Å
α = 109.47°, β = 109.47°, γ = 109.47°
Fractional coordinates of all 17 atoms:
La (0.0000, 0.0000, 0.0000)
In (0.1605, 0.3384, 0.4989)
In (0.1605, 0.6616, 0.8221)
In (0.1779, 0.8395, 0.3384)
In (0.3384, 0.1779, 0.8395)
In (0.3384, 0.4989, 0.1605)
In (0.4989, 0.1605, 0.3384)
In (0.5011, 0.8395, 0.6616)
In (0.6616, 0.5011, 0.8395)
In (0.6616, 0.8221, 0.1605)
In (0.8221, 0.1605, 0.6616)
In (0.8395, 0.3384, 0.1779)
In (0.8395, 0.6616, 0.5011)
Pd (0.0000, 0.0000, 0.5000)
Pd (0.0000, 0.5000, 0.0000)
Pd (0.5000, 0.0000, 0.0000)
Pd (0.5000, 0.5000, 0.5000)